The following is a DFT calculation (PBE+U) of crystalline CoRe3F at its relaxed geometry.

Properties
For the total magnetization, the calculation gives 4.21 μB/f.u. The final energy is -6.74 eV/atom.

abc: 4.4445 4.4445 4.4445
angles: 90.00 90.00 90.00
Fractional positions:
Co 0.0000 0.0000 0.0000
Re 0.0000 0.0000 0.5000
Re 0.0000 0.5000 0.0000
Re 0.5000 0.0000 0.0000
F 0.5000 0.5000 0.5000